[1]
First-principles (PBEsol) data for an optimized crystal structure of ZrFeCl2, as listed in Alexandria via LeMat-Bulk.

Output
The formation energy from raw total energies comes out at -0.616 eV/f.u. For the total magnetization, the calculation gives 0.632 μB per atom. The value obtained for the relative energy among the computed polymorphs is 0.153 eV per atom.

a b c (Å): 3.237 3.237 5.906
angles (deg): 90.00 90.00 90.00
Positions (direct):
Zr (0.000, 0.000, 0.000)
Fe (0.000, 0.000, 0.500)
Cl (0.500, 0.500, 0.246)
Cl (0.500, 0.500, 0.754)



[2]
First-principles (PBEsol) data for an optimized crystal structure of Zr2Fe2Cl, as listed in Alexandria via LeMat-Bulk.

Output
The formation energy from raw total energies comes out at -0.764 eV/f.u. For the total magnetization, the calculation gives 0.470 μB per atom.

a b c (Å): 3.315 3.315 15.152
angles (deg): 90.00 90.00 90.00
Positions (direct):
Zr (0.000, 0.000, 0.119)
Zr (0.000, 0.000, 0.881)
Zr (0.500, 0.500, 0.381)
Zr (0.500, 0.500, 0.619)
Fe (0.000, 0.500, 0.250)
Fe (0.000, 0.500, 0.750)
Fe (0.500, 0.000, 0.250)
Fe (0.500, 0.000, 0.750)
Cl (0.000, 0.000, 0.500)
Cl (0.500, 0.500, 0.000)



[3]
First-principles (PBEsol) data for an optimized crystal structure of ZrFeCl2, as listed in Alexandria via LeMat-Bulk.

Output
The formation energy from raw total energies comes out at -1.226 eV/f.u. For the total magnetization, the calculation gives 0.775 μB per atom. The value obtained for the relative energy among the computed polymorphs is 0.000 eV per atom.

a b c (Å): 3.169 3.169 24.771
angles (deg): 90.00 90.00 120.00
Positions (direct):
Zr (0.000, 0.000, 0.000)
Zr (0.333, 0.667, 0.667)
Zr (0.667, 0.333, 0.333)
Fe (0.000, 0.000, 0.500)
Fe (0.333, 0.667, 0.167)
Fe (0.667, 0.333, 0.833)
Cl (0.000, 0.000, 0.103)
Cl (0.000, 0.000, 0.897)
Cl (0.333, 0.667, 0.564)
Cl (0.333, 0.667, 0.770)
Cl (0.667, 0.333, 0.230)
Cl (0.667, 0.333, 0.436)



[4]
First-principles (PBEsol) data for an optimized crystal structure of GaCl3, as listed in Alexandria via LeMat-Bulk.

Output
The formation energy from raw total energies comes out at -4.297 eV/f.u. For the total magnetization, the calculation gives 0.000 μB per atom.

a b c (Å): 6.831 6.925 7.117
angles (deg): 90.66 118.52 119.48
Positions (direct):
Ga (0.070, 0.228, 0.414)
Ga (0.930, 0.772, 0.586)
Cl (0.125, 0.817, 0.935)
Cl (0.239, 0.001, 0.500)
Cl (0.362, 0.564, 0.665)
Cl (0.638, 0.436, 0.335)
Cl (0.761, 0.999, 0.500)
Cl (0.875, 0.183, 0.065)



[5]
First-principles (PBEsol) data for an optimized crystal structure of GaCl3, as listed in Alexandria via LeMat-Bulk.

Output
The formation energy from raw total energies comes out at -4.196 eV/f.u. For the total magnetization, the calculation gives 0.000 μB per atom.

a b c (Å): 14.602 3.597 9.035
angles (deg): 90.00 106.45 90.00
Positions (direct):
Ga (0.088, 0.000, 0.288)
Ga (0.412, 0.500, 0.712)
Ga (0.588, 0.500, 0.288)
Ga (0.912, 0.000, 0.712)
Cl (0.016, 0.500, 0.785)
Cl (0.140, 0.000, 0.531)
Cl (0.177, 0.000, 0.139)
Cl (0.323, 0.500, 0.861)
Cl (0.360, 0.500, 0.469)
Cl (0.484, 0.000, 0.215)
Cl (0.516, 0.000, 0.785)
Cl (0.640, 0.500, 0.531)
Cl (0.677, 0.500, 0.139)
Cl (0.823, 0.000, 0.861)
Cl (0.860, 0.000, 0.469)
Cl (0.984, 0.500, 0.215)



[6]
First-principles (PBEsol) data for an optimized crystal structure of GaCl2, as listed in Alexandria via LeMat-Bulk.

Output
The formation energy from raw total energies comes out at -2.928 eV/f.u. For the total magnetization, the calculation gives 0.000 μB per atom.

a b c (Å): 7.069 9.419 9.447
angles (deg): 90.00 90.00 90.00
Positions (direct):
Ga (0.160, 0.250, 0.250)
Ga (0.250, 0.000, 0.681)
Ga (0.250, 0.500, 0.819)
Ga (0.340, 0.750, 0.250)
Ga (0.660, 0.250, 0.750)
Ga (0.750, 0.000, 0.319)
Ga (0.750, 0.500, 0.181)
Ga (0.840, 0.750, 0.750)
Cl (0.002, 0.043, 0.813)
Cl (0.002, 0.457, 0.687)
Cl (0.167, 0.683, 0.948)
Cl (0.167, 0.817, 0.552)
Cl (0.333, 0.183, 0.552)
Cl (0.333, 0.317, 0.948)
Cl (0.498, 0.543, 0.687)
Cl (0.498, 0.957, 0.813)
Cl (0.502, 0.043, 0.187)
Cl (0.502, 0.457, 0.313)
Cl (0.667, 0.683, 0.052)
Cl (0.667, 0.817, 0.448)
Cl (0.833, 0.183, 0.448)
Cl (0.833, 0.317, 0.052)
Cl (0.998, 0.543, 0.313)
Cl (0.998, 0.957, 0.187)



[7]
First-principles (PBEsol) data for an optimized crystal structure of Ga3Cl7, as listed in Alexandria via LeMat-Bulk.

Output
The formation energy from raw total energies comes out at -10.138 eV/f.u. For the total magnetization, the calculation gives 0.000 μB per atom.

a b c (Å): 11.993 8.635 10.828
angles (deg): 90.00 90.00 90.00
Positions (direct):
Ga (0.094, 0.108, 0.000)
Ga (0.127, 0.620, 0.076)
Ga (0.173, 0.066, 0.319)
Ga (0.327, 0.566, 0.819)
Ga (0.373, 0.120, 0.576)
Ga (0.406, 0.608, 0.500)
Ga (0.594, 0.392, 0.000)
Ga (0.627, 0.880, 0.076)
Ga (0.673, 0.434, 0.319)
Ga (0.827, 0.934, 0.819)
Ga (0.873, 0.380, 0.576)
Ga (0.906, 0.892, 0.500)
Cl (0.014, 0.809, 0.119)
Cl (0.023, 0.176, 0.248)
Cl (0.047, 0.445, 0.964)
Cl (0.143, 0.870, 0.438)
Cl (0.212, 0.529, 0.669)
Cl (0.224, 0.536, 0.226)
Cl (0.248, 0.749, 0.944)
Cl (0.252, 0.249, 0.444)
Cl (0.276, 0.036, 0.726)
Cl (0.288, 0.029, 0.169)
Cl (0.357, 0.370, 0.938)
Cl (0.453, 0.945, 0.464)
Cl (0.477, 0.676, 0.748)
Cl (0.486, 0.309, 0.619)
Cl (0.514, 0.691, 0.119)
Cl (0.523, 0.324, 0.248)
Cl (0.547, 0.055, 0.964)
Cl (0.643, 0.630, 0.438)
Cl (0.712, 0.971, 0.669)
Cl (0.724, 0.964, 0.226)
Cl (0.748, 0.751, 0.944)
Cl (0.752, 0.251, 0.444)
Cl (0.776, 0.464, 0.726)
Cl (0.788, 0.471, 0.169)
Cl (0.857, 0.130, 0.938)
Cl (0.953, 0.555, 0.464)
Cl (0.977, 0.824, 0.748)
Cl (0.986, 0.191, 0.619)



[8]
First-principles (PBEsol) data for an optimized crystal structure of Ga2Ge2Cl, as listed in Alexandria via LeMat-Bulk.

Output
The formation energy from raw total energies comes out at -0.166 eV/f.u. For the total magnetization, the calculation gives 0.000 μB per atom.

a b c (Å): 4.460 4.460 10.058
angles (deg): 90.00 90.00 90.00
Positions (direct):
Ga (0.000, 0.500, 0.250)
Ga (0.000, 0.500, 0.750)
Ga (0.500, 0.000, 0.250)
Ga (0.500, 0.000, 0.750)
Ge (0.000, 0.000, 0.121)
Ge (0.000, 0.000, 0.879)
Ge (0.500, 0.500, 0.379)
Ge (0.500, 0.500, 0.621)
Cl (0.000, 0.000, 0.500)
Cl (0.500, 0.500, 0.000)



no.,VASP energy (eV per cell),N(E_F) (states/eV/cell)
1,-22.69,4.4
2,-77.76,9.0
3,-69.89,8.6
4,-27.32,0.0
5,-54.24,0.0
6,-82.26,0.0
7,-136.85,0.0
8,-37.46,5.0